[1]
Below is InBi2Pd2 after structural relaxation, with properties calculated at the PBE level.

The value obtained for the excess energy over the best structure of this formula in the dataset is 0.239 eV per atom.

The space group is I4/mmm (No. 139) and the conventional cell measures 4.9489, 4.9489 and 10.6741 Å, with angles of 90.00, 90.00 and 90.00 degrees. The distinct sites, in fractional coordinates, are In at (0.0000, 0.0000, 0.0000), Bi at (0.0000, 0.5000, 0.2500) and Pd at (0.0000, 0.0000, 0.3745).



[2]
Below is Sc4MnAu after structural relaxation, with properties calculated at the PBE level.

The space group is F-43m (No. 216) and the conventional cell measures 7.9750, 7.9750 and 7.9750 Å, with angles of 90.00, 90.00 and 90.00 degrees. The distinct sites, in fractional coordinates, are Sc at (0.1255, 0.1255, 0.1255), Mn at (0.0000, 0.0000, 0.5000) and Au at (0.2500, 0.2500, 0.7500).



no.,magnetic moment (μB per cell),ΔH_f (0 K) (eV/atom)
1,0.0,-0.04
2,13.3,0.34